Record 1
The following is a PBE calculation of SmTm2Cd2 after structural relaxation, from Alexandria via LeMat-Bulk.

Cell lengths 4.9235, 4.9235, 12.8639 Å; angles 101.03, 101.03, 90.00 degrees
Sites, in units of the cell vectors:
Sm 0.6291 0.6291 0.2582
Sm 0.3709 0.3709 0.7418
Tm 0.7500 0.2500 0.5000
Tm 0.9289 0.9289 0.8578
Tm 0.0711 0.0711 0.1422
Tm 0.2500 0.7500 0.5000
Cd 0.0000 0.5000 0.0000
Cd 0.1830 0.1830 0.3659
Cd 0.5000 0.0000 0.0000
Cd 0.8170 0.8170 0.6341

Properties
ΔH_f (0 K): 6 kJ/mol of formula units
Volume: 300.20 Å³/cell

Record 2
The following is a PBE calculation of TbGaPd2 after structural relaxation, from Alexandria via LeMat-Bulk.

Cell lengths 5.6343, 7.1875, 7.3647 Å; angles 90.00, 90.00, 90.00 degrees
Sites, in units of the cell vectors:
Tb 0.3558 0.7500 0.0298
Tb 0.1442 0.7500 0.5298
Tb 0.6442 0.2500 0.9702
Tb 0.8558 0.2500 0.4702
Ga 0.6424 0.7500 0.3844
Ga 0.8576 0.7500 0.8844
Ga 0.3576 0.2500 0.6156
Ga 0.1424 0.2500 0.1156
Pd 0.9115 0.5514 0.1835
Pd 0.5885 0.9486 0.6835
Pd 0.0885 0.0514 0.8165
Pd 0.4115 0.4486 0.3165
Pd 0.0885 0.4486 0.8165
Pd 0.4115 0.0514 0.3165
Pd 0.9115 0.9486 0.1835
Pd 0.5885 0.5514 0.6835

Properties
ΔH_f (0 K): -343 kJ/mol of formula units
Volume: 298.24 Å³/cell

Record 3
The following is a PBE calculation of Ho2BeInPt6 after structural relaxation, from Alexandria via LeMat-Bulk.

Cell lengths 5.5646, 8.5575, 8.5565 Å; angles 37.95, 71.00, 89.98 degrees
Sites, in units of the cell vectors:
Ho 0.7003 0.3000 0.5995
Ho 0.2997 0.7000 0.4005
Be 0.0000 0.0000 0.0000
In 0.5000 0.5000 0.0000
Pt 0.2382 0.2603 0.5241
Pt 0.7402 0.7624 0.0220
Pt 0.2382 0.7624 0.0220
Pt 0.7618 0.2376 0.9780
Pt 0.2598 0.2376 0.9780
Pt 0.7618 0.7397 0.4759

Properties
ΔH_f (0 K): -823 kJ/mol of formula units
Volume: 212.66 Å³/cell